The following is a PBE calculation of TaTcSb4 after structural relaxation, from Alexandria.

DOS(E_F): 23.085 states/eV per cell
formation energy from raw total energies: 29.78 kcal/mol of atoms

abc: 8.406 8.406 8.406
angles: 90.00 90.00 90.00
Space group F-43m (No. 216)
Inequivalent atoms, fractional coordinates:
Ta 0.000 0.000 0.000
Tc 0.250 0.250 0.750
Sb 0.125 0.125 0.375